1.
{"formula": "TiBi2Sb2", "functional": "PBE-GGA", "state": "optimized geometry", "energy_ev_per_cell": -46.518, "magnetic_moment_mub_per_cell": 1.6, "lattice_angstrom": [[7.334, 0.000, 0.000], [0.000, 7.334, 0.000], [0.000, 0.000, 5.192]], "species": ["Sb", "Sb", "Sb", "Sb", "Bi", "Bi", "Bi", "Bi", "Ti", "Ti"], "fractional_positions": [[0.848, 0.652, 0.000], [0.652, 0.152, 0.000], [0.152, 0.348, 0.000], [0.348, 0.848, 0.000], [0.835, 0.335, 0.500], [0.665, 0.835, 0.500], [0.335, 0.165, 0.500], [0.165, 0.665, 0.500], [0.500, 0.500, 0.000], [0.000, 0.000, 0.000]]}



2.
{"formula": "Mg2WI", "functional": "PBE-GGA", "state": "optimized geometry", "energy_ev_per_cell": -26.799, "magnetic_moment_mub_per_cell": 6.1, "lattice_angstrom": [[-2.186, -6.559, -4.088], [6.047, 1.194, -5.149], [3.738, -4.365, -2.886]], "species": ["W", "W", "Mg", "Mg", "Mg", "Mg", "I", "I"], "fractional_positions": [[0.750, 0.250, 0.500], [0.000, 0.000, 0.000], [0.375, 0.365, 0.750], [0.635, 0.125, 0.250], [0.115, 0.625, 0.250], [0.875, 0.885, 0.750], [0.250, 0.750, 0.500], [0.500, 0.500, 0.000]]}